{
  "formula": "Sb2ClO2",
  "functional": "PBE-GGA",
  "state": "relaxed",
  "vol_a3_per_fu": 95,
  "formation_energy_uncorrected_mev_per_atom": -786,
  "dft_energy_ev_per_atom": -4.788,
  "cell": [[3.794, -0.010, -0.012], [1.886, 3.292, -0.012], [1.857, 1.073, 7.594]],
  "species": ["Sb", "Sb", "Cl", "O", "O"],
  "fractional_positions": [[0.565, 0.065, 0.297], [0.435, 0.935, 0.703], [0.000, 0.500, 0.000], [0.220, 0.720, 0.338], [0.780, 0.280, 0.662]]
}